No. 1
La6Pr8Nd | Alexandria | PBE | relaxed; formation enthalpy at 0 K = 0.130 eV per atom; total energy = -70.62 eV per cell; ΔE to the lowest computed polymorph = 125 meV/atom
1.0
5.0243 2.9008 6.2445
-5.0243 2.9008 6.2445
0.0000 -5.8016 6.2445
La Pr Nd
6 8 1
direct
0.1024 0.7796 0.5914 La
0.2204 0.4086 0.8976 La
0.4086 0.8976 0.2204 La
0.5914 0.1024 0.7796 La
0.7796 0.5914 0.1024 La
0.8976 0.2204 0.4086 La
0.0814 0.0814 0.0814 Pr
0.1421 0.5758 0.2737 Pr
0.2737 0.1421 0.5758 Pr
0.4242 0.7263 0.8579 Pr
0.5758 0.2737 0.1421 Pr
0.7263 0.8579 0.4242 Pr
0.8579 0.4242 0.7263 Pr
0.9186 0.9186 0.9186 Pr
0.5000 0.5000 0.5000 Nd

No. 2
La2Pr8Nd3 | Alexandria | PBE | relaxed; formation enthalpy at 0 K = 0.199 eV per atom; total energy = -59.81 eV per cell; ΔE to the lowest computed polymorph = 57 meV/atom
1.0
10.6046 -3.8975 0.0000
10.6046 3.8975 0.0000
-0.0036 0.0000 5.8639
La Pr Nd
2 8 3
direct
0.2427 0.2427 0.4983 La
0.7573 0.7573 0.5017 La
0.1322 0.1322 0.9993 Pr
0.1888 0.6027 0.4998 Pr
0.3307 0.3307 0.9990 Pr
0.3973 0.8112 0.5002 Pr
0.6027 0.1888 0.4998 Pr
0.6693 0.6693 0.0010 Pr
0.8112 0.3973 0.5002 Pr
0.8678 0.8678 0.0007 Pr
0.0000 0.0000 0.5000 Nd
0.2863 0.7137 0.0000 Nd
0.7137 0.2863 0.0000 Nd

No. 3
La4PrNd6 | Alexandria | PBE | relaxed; formation enthalpy at 0 K = 0.147 eV per atom; total energy = -51.48 eV per cell; ΔE to the lowest computed polymorph = 0 meV/atom
1.0
11.2290 0.0000 0.0000
-5.6145 9.7246 0.0000
0.0000 0.0000 3.6740
La Pr Nd
4 1 6
direct
0.0000 0.0000 0.0000 La
0.5084 0.0169 0.5000 La
0.5084 0.4916 0.5000 La
0.9831 0.4916 0.5000 La
0.6667 0.3333 0.0000 Pr
0.1984 0.3969 0.0000 Nd
0.1984 0.8016 0.0000 Nd
0.2957 0.1479 0.5000 Nd
0.6031 0.8016 0.0000 Nd
0.8521 0.1479 0.5000 Nd
0.8521 0.7043 0.5000 Nd

No. 4
La6PrNd8 | Alexandria | PBE | relaxed; formation enthalpy at 0 K = 0.100 eV per atom; total energy = -70.99 eV per cell
1.0
4.6961 2.7113 7.1252
-4.6961 2.7113 7.1252
0.0000 -5.4226 7.1252
La Pr Nd
6 1 8
direct
0.0363 0.7401 0.5955 La
0.2600 0.4045 0.9637 La
0.4045 0.9637 0.2600 La
0.5955 0.0363 0.7401 La
0.7401 0.5955 0.0363 La
0.9637 0.2600 0.4045 La
0.5000 0.5000 0.5000 Pr
0.0771 0.0771 0.0771 Nd
0.2061 0.2590 0.6135 Nd
0.2590 0.6135 0.2061 Nd
0.3865 0.7939 0.7410 Nd
0.6135 0.2061 0.2590 Nd
0.7410 0.3865 0.7939 Nd
0.7939 0.7410 0.3865 Nd
0.9229 0.9229 0.9229 Nd